Compound: K3NbTc
Source: Alexandria
Functional: PBE-GGA
Structure: relaxed

Output
Offset from the most stable computed form = 0 meV per atom

a = 6.6102 Å, b = 6.6102 Å, c = 6.6102 Å
α = 90.00°, β = 90.00°, γ = 90.00°
Closest atoms and distances in Å follow each position.
Space group Pm-3m (No. 221)
Symmetry-distinct sites (fractional):
K: 0.0000 0.0000 0.5000 (multiplicity 3)  2 Nb 3.31
Nb: 0.0000 0.0000 0.0000 (multiplicity 1)  6 K 3.31
Tc: 0.5000 0.5000 0.5000 (multiplicity 1)  12 K 4.67

Compound: SrHfTi2Rh
Source: Alexandria
Functional: PBE-GGA
Structure: relaxed

Output
Offset from the most stable computed form = 0 meV per atom

a = 4.8205 Å, b = 4.8205 Å, c = 5.3844 Å
α = 90.00°, β = 90.00°, γ = 90.00°
Closest atoms and distances in Å follow each position.
Space group P4/mmm (No. 123)
Symmetry-distinct sites (fractional):
Sr: 0.0000 0.0000 0.0000 (multiplicity 1)  2 Rh 2.69
Hf: 0.5000 0.5000 0.0000 (multiplicity 1)  4 Sr 3.41, 8 Ti 3.61
Ti: 0.0000 0.5000 0.5000 (multiplicity 2)  2 Rh 2.41
Rh: 0.0000 0.0000 0.5000 (multiplicity 1)  4 Ti 2.41, 2 Sr 2.69

Compound: K3BaO
Source: Alexandria
Functional: PBE-GGA
Structure: relaxed

Output
Raw formation energy = -0.2703 eV per atom
Offset from the most stable computed form = 0 meV per atom

a = 5.8608 Å, b = 5.8608 Å, c = 5.8608 Å
α = 90.00°, β = 90.00°, γ = 90.00°
Closest atoms and distances in Å follow each position.
Space group Pm-3m (No. 221)
Symmetry-distinct sites (fractional):
K: 0.0000 0.0000 0.5000 (multiplicity 3)  2 O 2.93
Ba: 0.5000 0.5000 0.5000 (multiplicity 1)  12 K 4.14
O: 0.0000 0.0000 0.0000 (multiplicity 1)  6 K 2.93

Compound: K2BaY
Source: Alexandria
Functional: PBE-GGA
Structure: relaxed

Output
Offset from the most stable computed form = 189 meV per atom

a = 4.2257 Å, b = 7.3237 Å, c = 14.0254 Å
α = 90.00°, β = 90.00°, γ = 90.00°
Closest atoms and distances in Å follow each position.
Space group Imm2 (No. 44)
Symmetry-distinct sites (fractional):
K: 0.0000 0.0000 0.0000 (multiplicity 2)  2 Y 4.07, 4 K 4.09-4.23, 4 Ba 4.24
K: 0.0000 0.5000 0.2502 (multiplicity 2)  4 K 4.09-4.23, 4 Y 4.23, 2 Ba 4.34
Ba: 0.0000 0.0000 0.4796 (multiplicity 2)  2 Y 3.87, 2 Ba 4.23, 4 K 4.24
Y: 0.0000 0.5000 0.7484 (multiplicity 2)  2 Ba 3.87, 6 K 4.07-4.23, 2 Y 4.23

Compound: TmPaCdGa
Source: Alexandria
Functional: PBE-GGA
Structure: relaxed

a = 7.2676 Å, b = 7.2676 Å, c = 7.2676 Å
α = 90.00°, β = 90.00°, γ = 90.00°
Closest atoms and distances in Å follow each position.
Space group F-43m (No. 216)
Symmetry-distinct sites (fractional):
Tm: 0.0000 0.0000 0.0000 (multiplicity 4)  4 Cd 3.15, 4 Ga 3.15
Pa: 0.0000 0.0000 0.5000 (multiplicity 4)  4 Ga 3.15, 4 Cd 3.15
Cd: 0.2500 0.2500 0.7500 (multiplicity 4)  4 Pa 3.15, 4 Tm 3.15
Ga: 0.2500 0.2500 0.2500 (multiplicity 4)  4 Pa 3.15, 4 Tm 3.15

Compound: Ta2AlSi
Source: Alexandria
Functional: PBE-GGA
Structure: relaxed

Output
Raw formation energy = 0.1689 eV per atom
Offset from the most stable computed form = 399 meV per atom

a = 7.0519 Å, b = 7.0519 Å, c = 5.6125 Å
α = 90.00°, β = 90.00°, γ = 90.00°
Closest atoms and distances in Å follow each position.
Space group I-42d (No. 122)
Symmetry-distinct sites (fractional):
Ta: 0.2340 0.7500 0.1250 (multiplicity 8)  2 Si 2.51, 2 Al 2.67, 2 Ta 2.82
Al: 0.0000 0.0000 0.5000 (multiplicity 4)  4 Ta 2.67, 2 Si 2.81
Si: 0.0000 0.0000 0.0000 (multiplicity 4)  4 Ta 2.51, 2 Al 2.81

Compound: NaGeB2F
Source: Alexandria
Functional: PBE-GGA
Structure: relaxed

Output
Raw formation energy = 1.9993 eV per atom

a = 4.4527 Å, b = 4.4527 Å, c = 5.4187 Å
α = 90.00°, β = 90.00°, γ = 90.00°
Closest atoms and distances in Å follow each position.
Space group P4/mmm (No. 123)
Symmetry-distinct sites (fractional):
Na: 0.0000 0.0000 0.0000 (multiplicity 1)  4 B 2.23
Ge: 0.0000 0.0000 0.5000 (multiplicity 1)  2 Na 2.71
B: 0.0000 0.5000 0.0000 (multiplicity 2)  2 Na 2.23
F: 0.5000 0.5000 0.5000 (multiplicity 1)  4 Ge 3.15, 8 B 3.51

Compound: Y2Sb2I
Source: Alexandria
Functional: PBE-GGA
Structure: relaxed

Output
Raw formation energy = -0.9307 eV per atom
Offset from the most stable computed form = 0 meV per atom

a = 8.5344 Å, b = 8.5344 Å, c = 4.0401 Å
α = 90.00°, β = 90.00°, γ = 90.00°
Closest atoms and distances in Å follow each position.
Space group P4/mbm (No. 127)
Symmetry-distinct sites (fractional):
Y: 0.1631 0.3369 0.0000 (multiplicity 4)  6 Sb 3.19-3.24, 2 I 3.19
Sb: 0.1324 0.6324 0.5000 (multiplicity 4)  6 Y 3.19-3.24, 1 Sb 3.20
I: 0.0000 0.0000 0.0000 (multiplicity 2)  4 Y 3.19

Compound: Ac4InIr
Source: Alexandria
Functional: PBE-GGA
Structure: relaxed

Output
Offset from the most stable computed form = 76 meV per atom

a = 9.8405 Å, b = 16.1867 Å, c = 7.4845 Å
α = 90.00°, β = 125.61°, γ = 90.00°
Closest atoms and distances in Å follow each position.
Space group C2/c (No. 15)
Symmetry-distinct sites (fractional):
Ac: 0.1482 0.2091 0.1473 (multiplicity 8)  1 Ir 2.94
Ac: 0.2342 0.0395 0.7259 (multiplicity 8)  2 Ir 2.96-3.05
In: 0.0000 0.3779 0.7500 (multiplicity 4)  8 Ac 3.38-3.66
Ir: 0.0000 0.0759 0.2500 (multiplicity 4)  6 Ac 2.94-3.05

Compound: PmAl4Cu4
Source: Alexandria
Functional: PBE-GGA
Structure: relaxed

a = 5.9178 Å, b = 5.9178 Å, c = 8.4343 Å
α = 90.00°, β = 90.00°, γ = 90.00°
Closest atoms and distances in Å follow each position.
Space group P4_2/nmc (No. 137, origin choice 2)
Symmetry-distinct sites (fractional):
Pm: 0.2500 0.7500 0.2500 (multiplicity 2)  4 Cu 3.14, 8 Al 3.38
Al: 0.0162 0.2500 0.1452 (multiplicity 8)  5 Cu 2.46-2.53
Cu: 0.0444 0.2500 0.4403 (multiplicity 8)  1 Cu 2.43, 5 Al 2.46-2.53

Compound: LiPmPdAu
Source: Alexandria
Functional: PBE-GGA
Structure: relaxed

Output
Offset from the most stable computed form = 61 meV per atom

a = 6.9215 Å, b = 6.9215 Å, c = 6.9215 Å
α = 90.00°, β = 90.00°, γ = 90.00°
Closest atoms and distances in Å follow each position.
Space group F-43m (No. 216)
Symmetry-distinct sites (fractional):
Li: 0.0000 0.0000 0.0000 (multiplicity 4)  4 Pd 3.00, 4 Au 3.00
Pm: 0.0000 0.0000 0.5000 (multiplicity 4)  4 Pd 3.00, 4 Au 3.00
Pd: 0.2500 0.2500 0.2500 (multiplicity 4)  4 Li 3.00, 4 Pm 3.00
Au: 0.2500 0.2500 0.7500 (multiplicity 4)  4 Li 3.00, 4 Pm 3.00

Compound: InAu5
Source: Alexandria
Functional: PBE-GGA
Structure: relaxed

a = 10.6463 Å, b = 3.1805 Å, c = 6.9870 Å
α = 90.00°, β = 107.84°, γ = 90.00°
Closest atoms and distances in Å follow each position.
Space group Cm (No. 8)
Symmetry-distinct sites (fractional):
In: 0.0000 0.0000 0.0000 (multiplicity 2)  10 Au 2.90-3.03, 2 In 3.18
Au: 0.0420 0.0000 0.5910 (multiplicity 2)  11 Au 2.91-3.18, 1 In 3.03
Au: 0.1626 0.5000 0.3307 (multiplicity 2)  2 In 2.90, 10 Au 2.92-3.18
Au: 0.2124 0.5000 0.9210 (multiplicity 2)  9 Au 2.93-3.18, 3 In 2.94-2.95
Au: 0.3300 0.0000 0.6629 (multiplicity 2)  10 Au 2.93-3.18, 2 In 2.96
Au: 0.3773 0.0000 0.2597 (multiplicity 2)  10 Au 2.91-3.18, 2 In 3.00

no.,electronic total energy (eV per atom)
1,-2.59
2,-6.27
3,-2.30
4,-2.19
5,-4.57
6,-8.05
7,-2.23
8,-5.48
9,-5.04
10,-4.32
11,-4.41
12,-3.24